(1)
Material: TaAu2Br
Method: DFT, PBE
State: relaxed

```
TaAu2Br
1.0
3.704 -0.917 2.957
0.492 2.500 4.100
-0.780 -2.154 4.249
Au Br Ta
2 1 1
direct
0.250 0.250 0.250
0.750 0.750 0.750
0.000 0.000 0.000
0.500 0.500 0.500
```

Values from the calculation:
**Space-group type**: No. 225
**Crystal system**: cubic
**Calculated total energy**: -4.24 eV per atom

(2)
Material: CrCd2Ir
Method: DFT, PBE
State: relaxed

```
CrCd2Ir
1.0
-1.523 -2.027 4.346
-2.062 -4.028 2.198
4.007 -2.637 1.450
Cd Cr Ir
2 1 1
direct
0.991 0.991 0.003
0.758 0.758 0.750
0.518 0.518 0.469
0.234 0.234 0.278
```

Values from the calculation:
**Space-group type**: No. 8
**Crystal system**: monoclinic
**Formation energy**: 0.2575 eV per atom

(3)
Material: MgCrIn2
Method: DFT, PBE
State: relaxed

```
MgCrIn2
1.0
-3.099 2.506 -5.411
-1.823 -0.138 -6.467
-4.293 -1.882 -0.474
Cr In Mg
1 2 1
direct
0.254 0.254 0.246
0.953 0.953 0.049
0.740 0.740 0.759
0.554 0.554 0.446
```

Values from the calculation:
**Space-group type**: No. 8
**Crystal system**: monoclinic
**Formation energy**: 0.2112 eV per atom